No. 1
A plane-wave DFT calculation with PBE was carried out for a geometry-optimized Sc2HgIr2 structure.

Properties
SG = No. 139
Crystal system = tetragonal
Fermi-level density of states = 0.7178 states/eV per atom
Energy relative to the elements = -0.396 eV/atom
E above lowest polymorph = 0.270 eV/atom
M_tot = 0.00 μB per cell

a = 3.818 Å, b = 3.818 Å, c = 7.613 Å
α = 75.48°, β = 75.48°, γ = 90.00°
Fractional positions:
Sc 0.381 0.381 0.238
Sc 0.619 0.619 0.762
Hg 0.000 0.000 0.000
Ir 0.750 0.250 0.500
Ir 0.250 0.750 0.500

=====

No. 2
A plane-wave DFT calculation with PBE was carried out for a geometry-optimized CrSbIr2 structure.

Properties
SG = No. 216
Crystal system = cubic
Fermi-level density of states = 0.8538 states/eV per atom
M_tot = 0.00 μB per cell
Formation energy from raw total energies = 1.4 eV per formula unit

a = 4.446 Å, b = 4.446 Å, c = 4.446 Å
α = 60.00°, β = 60.00°, γ = 60.00°
Fractional positions:
Sb 0.750 0.750 0.750
Cr 0.500 0.500 0.500
Ir 0.000 0.000 0.000
Ir 0.250 0.250 0.250

=====

No. 3
A plane-wave DFT calculation with PBE was carried out for a geometry-optimized Sc2GaFe2Co5 structure.

Properties
SG = No. 127
Crystal system = tetragonal
Fermi-level density of states = 0.8508 states/eV per atom
Energy relative to the elements = -0.135 eV/atom
M_tot = 19.52 μB per cell

a = 3.652 Å, b = 8.576 Å, c = 8.576 Å
α = 90.00°, β = 90.00°, γ = 90.00°
Last column: magnetic moment on the atom in μB.
Fractional positions:
Ga 0.000 0.000 0.000  -0.02
Ga 0.000 0.500 0.500  -0.02
Fe 0.000 0.382 0.118  2.25
Fe 0.000 0.882 0.382  2.25
Fe 0.000 0.118 0.618  2.25
Fe 0.000 0.618 0.882  2.25
Co 0.500 0.705 0.439  1.22
Co 0.500 0.939 0.205  1.22
Co 0.500 0.500 0.000  1.23
Co 0.500 0.439 0.295  1.22
Co 0.500 0.795 0.939  1.22
Co 0.500 0.295 0.561  1.22
Co 0.500 0.000 0.500  1.23
Co 0.500 0.561 0.705  1.22
Co 0.500 0.205 0.061  1.22
Co 0.500 0.061 0.795  1.22
Sc 0.000 0.820 0.680  -0.25
Sc 0.000 0.180 0.320  -0.25
Sc 0.000 0.320 0.820  -0.25
Sc 0.000 0.680 0.180  -0.25

=====

No. 4
A plane-wave DFT calculation with PBE was carried out for a geometry-optimized LaAuC3 structure.

Properties
SG = No. 221
Crystal system = cubic
Fermi-level density of states = 1.2072 states/eV per atom
Energy relative to the elements = 3.025 eV/atom
E above lowest polymorph = 1.071 eV/atom
M_tot = 0.00 μB per cell

a = 4.549 Å, b = 4.549 Å, c = 4.549 Å
α = 90.00°, β = 90.00°, γ = 90.00°
Fractional positions:
C 0.000 0.500 0.000
C 0.000 0.000 0.500
C 0.500 0.000 0.000
La 0.000 0.000 0.000
Au 0.500 0.500 0.500

=====

No. 5
A plane-wave DFT calculation with PBE was carried out for a geometry-optimized LuMgZnCo structure.

Properties
SG = No. 216
Crystal system = cubic
Fermi-level density of states = 0.7639 states/eV per atom
Energy relative to the elements = -0.105 eV/atom
M_tot = 0.64 μB per cell

a = 4.628 Å, b = 4.628 Å, c = 4.628 Å
α = 60.00°, β = 60.00°, γ = 60.00°
Last column: magnetic moment on the atom in μB.
Fractional positions:
Co 0.750 0.750 0.750  0.71
Zn 0.250 0.250 0.250  0.00
Lu 0.000 0.000 0.000  -0.05
Mg 0.500 0.500 0.500  0.00

=====

No. 6
A plane-wave DFT calculation with PBE was carried out for a geometry-optimized Pm4Nd5Tm structure.

Properties
SG = No. 12
Crystal system = monoclinic
Fermi-level density of states = 1.5276 states/eV per atom
Energy relative to the elements = 0.090 eV/atom
E above lowest polymorph = 0.072 eV/atom
M_tot = 0.00 μB per cell

a = 3.554 Å, b = 11.238 Å, c = 9.265 Å
α = 72.88°, β = 101.06°, γ = 90.00°
Fractional positions:
Nd 0.208 0.400 0.415
Nd 0.792 0.600 0.585
Nd 0.895 0.287 0.790
Nd 0.105 0.713 0.210
Nd 0.500 0.500 0.000
Pm 0.908 0.806 0.816
Pm 0.696 0.918 0.392
Pm 0.092 0.194 0.184
Pm 0.304 0.082 0.608
Tm 0.500 0.000 0.000

=====

No. 7
A plane-wave DFT calculation with PBE was carried out for a geometry-optimized Cd3AgF structure.

Properties
SG = No. 221
Crystal system = cubic
Fermi-level density of states = 0.4083 states/eV per atom
E above lowest polymorph = 0.000 eV/atom
M_tot = 0.00 μB per cell
Formation energy from raw total energies = -1.3 eV per formula unit

a = 4.758 Å, b = 4.758 Å, c = 4.758 Å
α = 90.00°, β = 90.00°, γ = 90.00°
Fractional positions:
Ag 0.500 0.500 0.500
F 0.000 0.000 0.000
Cd 0.500 0.000 0.000
Cd 0.000 0.000 0.500
Cd 0.000 0.500 0.000

=====

No. 8
A plane-wave DFT calculation with PBE was carried out for a geometry-optimized Ho12AlIn6 structure.

Properties
SG = No. 148
Crystal system = trigonal
Fermi-level density of states = 1.0054 states/eV per atom
Energy relative to the elements = 0.018 eV/atom
M_tot = 0.00 μB per cell

a = 8.824 Å, b = 8.824 Å, c = 8.824 Å
α = 100.77°, β = 100.77°, γ = 100.77°
Fractional positions:
Ho 0.946 0.321 0.057
Ho 0.425 0.563 0.176
Ho 0.437 0.824 0.575
Ho 0.679 0.943 0.054
Ho 0.321 0.057 0.946
Ho 0.057 0.946 0.321
Ho 0.563 0.176 0.425
Ho 0.824 0.575 0.437
Ho 0.575 0.437 0.824
Ho 0.176 0.425 0.563
Ho 0.054 0.679 0.943
Ho 0.943 0.054 0.679
Al 0.000 0.000 0.000
In 0.695 0.862 0.383
In 0.617 0.305 0.138
In 0.862 0.383 0.695
In 0.383 0.695 0.862
In 0.305 0.138 0.617
In 0.138 0.617 0.305